Material: Mn3IrO
Method: DFT, PBE+U
State: optimized geometry

Computed properties:
For the energy above the most stable polymorph in this dataset, the calculation gives 0 meV per atom. The space group is Pm-3m (221). The calculated total energy is -7.520 eV per atom.

Cell lengths 4.216, 4.216, 4.216 Å; angles 90.00, 90.00, 90.00 degrees
Site moments in Bohr magnetons follow the coordinates.
Sites, in units of the cell vectors:
Ir: 0.500 0.500 0.500  0.47
O: 0.000 0.000 0.000  0.04
Mn: 0.000 0.500 0.000  4.41
Mn: 0.000 0.000 0.500  4.44
Mn: 0.500 0.000 0.000  4.40